No. 1
The following is a GGA-PBE calculation of an optimized crystal structure of Pr2YPdO5, from Alexandria via LeMat-Bulk.

a = 5.943 Å, b = 6.654 Å, c = 6.654 Å
α = 90.00°, β = 90.00°, γ = 90.00°
Fractional coordinates of all 18 atoms:
Pr: 0.500 0.337 0.837
Pr: 0.500 0.663 0.163
Pr: 0.500 0.837 0.663
Pr: 0.500 0.163 0.337
O: 0.500 0.500 0.500
O: 0.766 0.669 0.831
O: 0.766 0.169 0.669
O: 0.766 0.831 0.331
O: 0.234 0.169 0.669
O: 0.234 0.831 0.331
O: 0.234 0.669 0.831
O: 0.234 0.331 0.169
O: 0.500 0.000 0.000
O: 0.766 0.331 0.169
Y: 0.000 0.500 0.500
Y: 0.000 0.000 0.000
Pd: 0.000 0.000 0.500
Pd: 0.000 0.500 0.000


No. 2
The following is a GGA-PBE calculation of an optimized crystal structure of Pr2ZnPdO5, from Alexandria via LeMat-Bulk.

a = 5.714 Å, b = 6.878 Å, c = 6.878 Å
α = 90.00°, β = 90.00°, γ = 90.00°
Fractional coordinates of all 18 atoms:
O: 0.248 0.142 0.642
O: 0.248 0.858 0.358
O: 0.248 0.642 0.858
O: 0.752 0.358 0.142
O: 0.500 0.000 0.000
O: 0.248 0.358 0.142
O: 0.752 0.858 0.358
O: 0.752 0.142 0.642
O: 0.752 0.642 0.858
O: 0.500 0.500 0.500
Pd: 0.000 0.000 0.500
Pd: 0.000 0.500 0.000
Zn: 0.000 0.500 0.500
Zn: 0.000 0.000 0.000
Pr: 0.500 0.327 0.827
Pr: 0.500 0.673 0.173
Pr: 0.500 0.827 0.673
Pr: 0.500 0.173 0.327


no.,raw formation energy (eV per atom),total magnetization (μB per cell)
1,-2.355,1.998
2,-1.831,0.000